Entry from Alexandria via LeMat-Bulk: MgMn4Cu3O12 after structural relaxation (PBE+U).

Structure (POSCAR):
```
MgMn4Cu3O12
1.0
-2.853 0.744 -5.649
-4.032 -2.797 4.065
1.707 5.698 2.284
O Mn Cu Mg
12 4 3 1
Cartesian
-3.216 -0.474 3.302
-5.169 -0.932 -0.022
-3.660 2.019 2.000
-0.907 1.982 1.376
-1.807 3.104 3.832
-3.372 0.541 -3.132
-0.010 4.577 0.722
-1.962 4.119 -2.602
-2.674 3.783 0.109
-1.519 1.627 -1.300
-2.505 -0.137 0.591
-4.272 1.664 -0.676
-1.427 0.372 -2.824
-2.016 -1.398 2.032
0.853 2.849 1.142
-2.589 1.823 0.350
-1.163 1.451 3.174
-0.573 3.221 -1.682
-3.443 -1.026 -0.792
0.000 0.000 0.000
```

Output
Space group = Im-3 (204)
Volume = 199 Å³/cell
Uncorrected energy = -127.03 eV for the cell shown